1.
CaMo3P3O13 (PBEsol, optimized geometry); formation energy without anion corrections = -1.99 eV per atom; symmetry = No. 11; volume = 12.90 Å³ per atom
1.0
7.6381 0.0000 0.0000
0.0000 6.5283 0.0000
-1.7007 0.0000 10.3474
Ca Mo P O
2 6 6 26
Direct
0.1539 0.2500 0.1966
0.8461 0.7500 0.8034
0.1453 0.2500 0.7944
0.2603 0.7500 0.4388
0.5000 0.0000 0.0000
0.5000 0.5000 0.0000
0.7397 0.2500 0.5612
0.8547 0.7500 0.2056
0.1777 0.7500 0.1082
0.2418 0.7500 0.7648
0.2895 0.2500 0.5034
0.7105 0.7500 0.4966
0.7582 0.2500 0.2352
0.8223 0.2500 0.8918
0.0127 0.2500 0.9690
0.1207 0.5673 0.7860
0.1207 0.9327 0.7860
0.1383 0.7500 0.2507
0.1608 0.2500 0.6026
0.2475 0.0661 0.4088
0.2475 0.4339 0.4088
0.2801 0.5507 0.0924
0.2801 0.9493 0.0924
0.3126 0.7500 0.6382
0.3786 0.2500 0.9037
0.4096 0.7500 0.8749
0.4801 0.2500 0.5770
0.5199 0.7500 0.4230
0.5904 0.2500 0.1251
0.6214 0.7500 0.0963
0.6874 0.2500 0.3618
0.7199 0.0507 0.9076
0.7199 0.4493 0.9076
0.7525 0.5661 0.5912
0.7525 0.9339 0.5912
0.8392 0.7500 0.3974
0.8617 0.2500 0.7493
0.8793 0.0673 0.2140
0.8793 0.4327 0.2140
0.9873 0.7500 0.0310



2.
CaPrMo2O6 (PBEsol, optimized geometry); formation energy without anion corrections = -2.44 eV per atom; symmetry = No. 31; volume = 12.05 Å³ per atom
1.0
7.7927 0.0000 0.0000
0.0000 5.7184 0.0000
0.0000 0.0000 5.4070
Ca Pr Mo O
2 2 4 12
Direct
0.0000 0.1896 0.0000
0.5000 0.8104 0.5000
0.0000 0.6915 0.5322
0.5000 0.3085 0.0322
0.2494 0.2484 0.5161
0.2506 0.7516 0.0161
0.7494 0.7516 0.0161
0.7506 0.2484 0.5161
0.0000 0.2730 0.4230
0.0000 0.7774 0.1000
0.2046 0.4549 0.8185
0.2067 0.9598 0.7199
0.2933 0.0402 0.2199
0.2954 0.5451 0.3185
0.5000 0.2226 0.6000
0.5000 0.7270 0.9230
0.7046 0.5451 0.3185
0.7067 0.0402 0.2199
0.7933 0.9598 0.7199
0.7954 0.4549 0.8185



3.
Ca2MoSO (PBEsol, optimized geometry); formation energy without anion corrections = -0.31 eV per atom; symmetry = No. 123; volume = 21.38 Å³ per atom
1.0
4.2550 0.0000 0.0000
0.0000 4.2550 0.0000
0.0000 0.0000 5.9037
Ca Mo S O
2 1 1 1
Direct
0.0000 0.5000 0.0000
0.5000 0.0000 0.0000
0.0000 0.0000 0.5000
0.5000 0.5000 0.5000
0.5000 0.5000 0.0000